A relaxed SrCoNO2 crystal, computed with GGA+U.

Cell lengths 4.0969, 4.0969, 3.4721 Å; angles 90.00, 90.00, 90.00 degrees
Positions (direct):
Sr: 0.0000 0.0000 0.0000
Co: 0.5000 0.5000 0.5000
N: 0.5000 0.5000 0.0000
O: 0.0000 0.5000 0.5000
O: 0.5000 0.0000 0.5000

Output
The space-group type is P4/mmm. The energy is -29.10 eV/f.u.